Density functional theory data (PBE) for an optimized crystal structure of Sm2Cu3AgSn4.

Computed properties:
energy of formation from the pure elements	-0.373	eV per atom

Cell lengths 4.4619, 4.4619, 10.9590 Å; angles 90.00, 90.00, 90.00 degrees
Closest atoms and distances in Å follow each position.
Space group P-4m2 (No. 115)
One atom of each set of equivalent atoms:
Sm 0.0000 0.5000 0.2488 (multiplicity 2)  8 Sn 3.38-3.54, 6 Cu 3.41-3.52, 2 Ag 3.52
Cu 0.0000 0.0000 0.0000 (multiplicity 1)  4 Sn 2.70
Cu 0.0000 0.5000 0.6326 (multiplicity 2)  5 Sn 2.51-2.66
Ag 0.5000 0.5000 0.0000 (multiplicity 1)  4 Sn 2.70
Sn 0.0000 0.0000 0.5000 (multiplicity 1)  4 Cu 2.66
Sn 0.0000 0.5000 0.8612 (multiplicity 2)  3 Cu 2.51-2.70, 2 Ag 2.70
Sn 0.5000 0.5000 0.5000 (multiplicity 1)  4 Cu 2.66